This record from Alexandria describes TbTlSb2 after structural relaxation. The functional is GGA-PBE.

E_form (uncorrected): -0.49 eV/atom
Space-group type: P4/mmm
Uncorrected energy: -4.3030 eV/atom

Lattice parameters (Å, degrees): 4.1331 4.1331 6.7199 90.00 90.00 90.00
Positions (direct):
1 Sb 0.0000 0.0000 0.7783
2 Sb 0.0000 0.0000 0.2217
3 Tl 0.5000 0.5000 0.5000
4 Tb 0.5000 0.5000 0.0000